[1]
Below is Hf2UTi after structural relaxation, with properties calculated at the PBE level.

Cell lengths 4.8835, 4.8835, 4.8845 Å; angles 60.01, 60.01, 60.00 degrees
Last column: nearest neighbours and their distance in Å.
Element x y z (fractional)
U 0.0000 0.0000 0.0000  8 Hf 2.99
Ti 0.5000 0.5000 0.5000  8 Hf 2.99
Hf 0.7499 0.7499 0.7504  4 Ti 2.99, 4 U 2.99
Hf 0.2501 0.2501 0.2496  4 Ti 2.99, 4 U 2.99

Computed properties:
As for the total moment: 0.0 μB/cell. As for the energy above the most stable polymorph in this dataset: 0.000 eV per atom. The crystal system is cubic. The value obtained for the total energy is -9.516 eV per atom. The value obtained for the mass density is 12.959 Mg/m³.

=====

[2]
Below is Hf2UTi after structural relaxation, with properties calculated at the PBE level.

Cell lengths 3.5061, 3.5061, 6.7765 Å; angles 90.00, 90.00, 90.00 degrees
Last column: nearest neighbours and their distance in Å.
Element x y z (fractional)
Hf 0.0000 0.0000 0.7468  4 Ti 2.99, 4 U 3.01, 1 Hf 3.35
Hf 0.0000 0.0000 0.2532  4 Ti 2.99, 4 U 3.01, 1 Hf 3.35
Ti 0.5000 0.5000 0.5000  8 Hf 2.99
U 0.5000 0.5000 0.0000  8 Hf 3.01

Computed properties:
As for the total moment: 1.8 μB/cell. As for the energy above the most stable polymorph in this dataset: 0.070 eV per atom. The crystal system is tetragonal. The value obtained for the total energy is -9.446 eV per atom. The value obtained for the mass density is 12.815 Mg/m³.